Entry 1:
# PBE MgSe2Cl, relaxed
data_MgSe2Cl
_chemical_formula_sum 'Mg3 Se6 Cl3'
_symmetry_space_group_name_H-M 'R -3 m'
_symmetry_Int_Tables_number 166
_symmetry_space_group_name_Hall '-R 3 2"'
_cell_length_a 3.1617
_cell_length_b 3.1617
_cell_length_c 32.2486
_cell_angle_alpha 90.00
_cell_angle_beta 90.00
_cell_angle_gamma 120.00
loop_
_atom_site_label
_atom_site_type_symbol
_atom_site_fract_x
_atom_site_fract_y
_atom_site_fract_z
Mg1 Mg 0.0000 0.0000 0.0000
Se1 Se 0.0000 0.0000 0.0774
Cl1 Cl 0.0000 0.0000 0.5000
# V: 23.26 Å³/atom
# Mass density: 3.9 g cm⁻³
# Formation energy without anion corrections: 117 kJ/mol of formula units
# Energy relative to the lowest polymorph listed for this composition: 4.44 eV/f.u.

Entry 2:
# PBE MgSe2Cl, relaxed
data_MgSe2Cl
_chemical_formula_sum 'Mg3 Se6 Cl3'
_symmetry_space_group_name_H-M 'R -3 m'
_symmetry_Int_Tables_number 166
_symmetry_space_group_name_Hall '-R 3 2"'
_cell_length_a 4.1618
_cell_length_b 4.1618
_cell_length_c 19.1088
_cell_angle_alpha 90.00
_cell_angle_beta 90.00
_cell_angle_gamma 120.00
loop_
_atom_site_label
_atom_site_type_symbol
_atom_site_fract_x
_atom_site_fract_y
_atom_site_fract_z
Mg1 Mg 0.0000 0.0000 0.0000
Se1 Se 0.0000 0.0000 0.2712
Cl1 Cl 0.0000 0.0000 0.5000
# V: 23.89 Å³/atom
# Mass density: 3.8 g cm⁻³
# Formation energy without anion corrections: -81 kJ/mol of formula units
# Energy relative to the lowest polymorph listed for this composition: 2.39 eV/f.u.

Entry 3:
# PBE MgSe2Cl, relaxed
data_MgSe2Cl
_chemical_formula_sum 'Mg4 Se8 Cl4'
_symmetry_space_group_name_H-M 'F -4 3 m'
_symmetry_Int_Tables_number 216
_symmetry_space_group_name_Hall 'F -4 2 3'
_cell_length_a 6.944
_cell_length_b 6.944
_cell_length_c 6.944
_cell_angle_alpha 90.00
_cell_angle_beta 90.00
_cell_angle_gamma 90.00
loop_
_atom_site_label
_atom_site_type_symbol
_atom_site_fract_x
_atom_site_fract_y
_atom_site_fract_z
Mg1 Mg 0.000 0.000 0.000
Se1 Se 0.000 0.000 0.500
Se2 Se 0.250 0.250 0.250
Cl1 Cl 0.250 0.250 0.750
# V: 20.93 Å³/atom
# Mass density: 4.3 g cm⁻³
# Formation energy without anion corrections: -39 kJ/mol of formula units
# Energy relative to the lowest polymorph listed for this composition: 2.82 eV/f.u.

Entry 4:
# PBE MgSeCl2, relaxed
data_MgSeCl2
_chemical_formula_sum 'Mg2 Se2 Cl4'
_symmetry_space_group_name_H-M 'I 4/m m m'
_symmetry_Int_Tables_number 139
_symmetry_space_group_name_Hall '-I 4 2'
_cell_length_a 4.693
_cell_length_b 4.693
_cell_length_c 7.946
_cell_angle_alpha 90.00
_cell_angle_beta 90.00
_cell_angle_gamma 90.00
loop_
_atom_site_label
_atom_site_type_symbol
_atom_site_fract_x
_atom_site_fract_y
_atom_site_fract_z
Mg1 Mg 0.000 0.000 0.000
Se1 Se 0.000 0.000 0.500
Cl1 Cl 0.000 0.500 0.250
# V: 21.88 Å³/atom
# Mass density: 3.3 g cm⁻³
# Formation energy without anion corrections: -87 kJ/mol of formula units
# Energy relative to the lowest polymorph listed for this composition: 3.01 eV/f.u.

Entry 5:
# PBE MgSnSe2Cl, relaxed
data_MgSnSe2Cl
_chemical_formula_sum 'Mg1 Sn1 Se2 Cl1'
_symmetry_space_group_name_H-M 'P 4/m m m'
_symmetry_Int_Tables_number 123
_symmetry_space_group_name_Hall '-P 4 2'
_cell_length_a 5.617
_cell_length_b 5.617
_cell_length_c 4.415
_cell_angle_alpha 90.00
_cell_angle_beta 90.00
_cell_angle_gamma 90.00
loop_
_atom_site_label
_atom_site_type_symbol
_atom_site_fract_x
_atom_site_fract_y
_atom_site_fract_z
Mg1 Mg 0.000 0.000 0.000
Sn1 Sn 0.500 0.500 0.000
Se1 Se 0.000 0.500 0.500
Cl1 Cl 0.000 0.000 0.500
# V: 27.86 Å³/atom
# Mass density: 4.0 g cm⁻³
# Formation energy without anion corrections: 72 kJ/mol of formula units

Entry 6:
# PBE SrMgSe2Cl, relaxed
data_SrMgSe2Cl
_chemical_formula_sum 'Sr1 Mg1 Se2 Cl1'
_symmetry_space_group_name_H-M 'P 4/m m m'
_symmetry_Int_Tables_number 123
_symmetry_space_group_name_Hall '-P 4 2'
_cell_length_a 5.784
_cell_length_b 5.784
_cell_length_c 5.367
_cell_angle_alpha 90.00
_cell_angle_beta 90.00
_cell_angle_gamma 90.00
loop_
_atom_site_label
_atom_site_type_symbol
_atom_site_fract_x
_atom_site_fract_y
_atom_site_fract_z
Sr1 Sr 0.000 0.000 0.000
Mg1 Mg 0.500 0.500 0.500
Se1 Se 0.000 0.500 0.000
Cl1 Cl 0.000 0.000 0.500
# V: 35.91 Å³/atom
# Mass density: 2.8 g cm⁻³
# Formation energy without anion corrections: -252 kJ/mol of formula units

Entry 7:
# PBE Mg2ZnSeCl, relaxed
data_Mg2ZnSeCl
_chemical_formula_sum 'Mg2 Zn1 Se1 Cl1'
_symmetry_space_group_name_H-M 'P 4/m m m'
_symmetry_Int_Tables_number 123
_symmetry_space_group_name_Hall '-P 4 2'
_cell_length_a 4.985
_cell_length_b 4.985
_cell_length_c 5.147
_cell_angle_alpha 90.00
_cell_angle_beta 90.00
_cell_angle_gamma 90.00
loop_
_atom_site_label
_atom_site_type_symbol
_atom_site_fract_x
_atom_site_fract_y
_atom_site_fract_z
Mg1 Mg 0.000 0.500 0.000
Zn1 Zn 0.000 0.000 0.500
Se1 Se 0.500 0.500 0.500
Cl1 Cl 0.000 0.000 0.000
# V: 25.58 Å³/atom
# Mass density: 3.0 g cm⁻³
# Formation energy without anion corrections: 31 kJ/mol of formula units

Entry 8:
# PBE MgZrSe2Cl, relaxed
data_MgZrSe2Cl
_chemical_formula_sum 'Mg1 Zr1 Se2 Cl1'
_symmetry_space_group_name_H-M 'P 4/m m m'
_symmetry_Int_Tables_number 123
_symmetry_space_group_name_Hall '-P 4 2'
_cell_length_a 5.106
_cell_length_b 5.106
_cell_length_c 4.465
_cell_angle_alpha 90.00
_cell_angle_beta 90.00
_cell_angle_gamma 90.00
loop_
_atom_site_label
_atom_site_type_symbol
_atom_site_fract_x
_atom_site_fract_y
_atom_site_fract_z
Mg1 Mg 0.000 0.000 0.000
Zr1 Zr 0.500 0.500 0.500
Se1 Se 0.000 0.500 0.000
Cl1 Cl 0.000 0.000 0.500
# V: 23.28 Å³/atom
# Mass density: 4.4 g cm⁻³
# Formation energy without anion corrections: -229 kJ/mol of formula units

Entry 9:
# PBE MgSiCl2, relaxed
data_MgSiCl2
_chemical_formula_sum 'Mg4 Si4 Cl8'
_symmetry_space_group_name_H-M 'F -4 3 m'
_symmetry_Int_Tables_number 216
_symmetry_space_group_name_Hall 'F -4 2 3'
_cell_length_a 6.998
_cell_length_b 6.998
_cell_length_c 6.998
_cell_angle_alpha 90.00
_cell_angle_beta 90.00
_cell_angle_gamma 90.00
loop_
_atom_site_label
_atom_site_type_symbol
_atom_site_fract_x
_atom_site_fract_y
_atom_site_fract_z
Mg1 Mg 0.000 0.000 0.000
Si1 Si 0.250 0.250 0.750
Cl1 Cl 0.000 0.000 0.500
Cl2 Cl 0.250 0.250 0.250
# V: 21.41 Å³/atom
# Mass density: 2.4 g cm⁻³
# Formation energy without anion corrections: 44 kJ/mol of formula units
# Energy relative to the lowest polymorph listed for this composition: 3.40 eV/f.u.

Entry 10:
# PBE MgSiCl, relaxed
data_MgSiCl
_chemical_formula_sum 'Mg2 Si2 Cl2'
_symmetry_space_group_name_H-M 'I 4 m m'
_symmetry_Int_Tables_number 107
_symmetry_space_group_name_Hall 'I 4 -2'
_cell_length_a 3.067
_cell_length_b 3.067
_cell_length_c 15.817
_cell_angle_alpha 90.00
_cell_angle_beta 90.00
_cell_angle_gamma 90.00
loop_
_atom_site_label
_atom_site_type_symbol
_atom_site_fract_x
_atom_site_fract_y
_atom_site_fract_z
Mg1 Mg 0.000 0.000 0.000
Si1 Si 0.000 0.000 0.374
Cl1 Cl 0.000 0.000 0.591
# V: 24.79 Å³/atom
# Mass density: 2.0 g cm⁻³
# Formation energy without anion corrections: -84 kJ/mol of formula units

Entry 11:
# PBE MgSiCl2, relaxed
data_MgSiCl2
_chemical_formula_sum 'Mg2 Si2 Cl4'
_symmetry_space_group_name_H-M 'C m m m'
_symmetry_Int_Tables_number 65
_symmetry_space_group_name_Hall '-C 2 2'
_cell_length_a 6.173
_cell_length_b 8.123
_cell_length_c 3.355
_cell_angle_alpha 90.00
_cell_angle_beta 90.00
_cell_angle_gamma 90.00
loop_
_atom_site_label
_atom_site_type_symbol
_atom_site_fract_x
_atom_site_fract_y
_atom_site_fract_z
Mg1 Mg 0.000 0.000 0.000
Si1 Si 0.000 0.500 0.000
Cl1 Cl 0.250 0.250 0.500
# V: 21.03 Å³/atom
# Mass density: 2.4 g cm⁻³
# Formation energy without anion corrections: -25 kJ/mol of formula units
# Energy relative to the lowest polymorph listed for this composition: 2.68 eV/f.u.

Entry 12:
# PBE MgSiCl2, relaxed
data_MgSiCl2
_chemical_formula_sum 'Mg3 Si3 Cl6'
_symmetry_space_group_name_H-M 'R -3 m'
_symmetry_Int_Tables_number 166
_symmetry_space_group_name_Hall '-R 3 2"'
_cell_length_a 3.3786
_cell_length_b 3.3786
_cell_length_c 36.9609
_cell_angle_alpha 90.00
_cell_angle_beta 90.00
_cell_angle_gamma 120.00
loop_
_atom_site_label
_atom_site_type_symbol
_atom_site_fract_x
_atom_site_fract_y
_atom_site_fract_z
Mg1 Mg 0.0000 0.0000 0.0000
Si1 Si 0.0000 0.0000 0.5000
Cl1 Cl 0.0000 0.0000 0.3734
# V: 30.45 Å³/atom
# Mass density: 1.7 g cm⁻³
# Formation energy without anion corrections: -279 kJ/mol of formula units
# Energy relative to the lowest polymorph listed for this composition: 0.04 eV/f.u.

Entry 13:
# PBE MgSiCl2, relaxed
data_MgSiCl2
_chemical_formula_sum 'Mg1 Si1 Cl2'
_symmetry_space_group_name_H-M 'P 4 m m'
_symmetry_Int_Tables_number 99
_cell_length_a 3.565
_cell_length_b 3.565
_cell_length_c 6.688
_cell_angle_alpha 90.00
_cell_angle_beta 90.00
_cell_angle_gamma 90.00
loop_
_symmetry_equiv_pos_as_xyz
'x,y,z'
'-y,x,z'
'-x,-y,z'
'y,-x,z'
'-x,y,z'
'y,x,z'
'x,-y,z'
'-y,-x,z'
loop_
_atom_site_label
_atom_site_type_symbol
_atom_site_fract_x
_atom_site_fract_y
_atom_site_fract_z
Mg1 Mg 0.000 0.000 0.000
Si1 Si 0.500 0.500 0.317
Cl1 Cl 0.000 0.000 0.628
Cl2 Cl 0.500 0.500 0.921
# V: 21.25 Å³/atom
# Mass density: 2.4 g cm⁻³
# Formation energy without anion corrections: -132 kJ/mol of formula units
# Energy relative to the lowest polymorph listed for this composition: 1.57 eV/f.u.

Entry 14:
# PBE MgSiCl2, relaxed
data_MgSiCl2
_chemical_formula_sum 'Mg2 Si2 Cl4'
_symmetry_space_group_name_H-M 'I 4/m m m'
_symmetry_Int_Tables_number 139
_symmetry_space_group_name_Hall '-I 4 2'
_cell_length_a 4.510
_cell_length_b 4.510
_cell_length_c 8.148
_cell_angle_alpha 90.00
_cell_angle_beta 90.00
_cell_angle_gamma 90.00
loop_
_atom_site_label
_atom_site_type_symbol
_atom_site_fract_x
_atom_site_fract_y
_atom_site_fract_z
Mg1 Mg 0.000 0.000 0.000
Si1 Si 0.000 0.000 0.500
Cl1 Cl 0.000 0.500 0.250
# V: 20.71 Å³/atom
# Mass density: 2.5 g cm⁻³
# Formation energy without anion corrections: -30 kJ/mol of formula units
# Energy relative to the lowest polymorph listed for this composition: 2.62 eV/f.u.

Entry 15:
# PBE Mg2SiCl, relaxed
data_Mg2SiCl
_chemical_formula_sum 'Mg4 Si2 Cl2'
_symmetry_space_group_name_H-M 'C 1 2/m 1'
_symmetry_Int_Tables_number 12
_cell_length_a 7.787
_cell_length_b 3.316
_cell_length_c 7.918
_cell_angle_alpha 90.00
_cell_angle_beta 119.26
_cell_angle_gamma 90.00
loop_
_symmetry_equiv_pos_as_xyz
'x,y,z'
'-x,-y,-z'
'-x,y,-z'
'x,-y,z'
'x+1/2,y+1/2,z'
'-x+1/2,-y+1/2,-z'
'-x+1/2,y+1/2,-z'
'x+1/2,-y+1/2,z'
loop_
_atom_site_label
_atom_site_type_symbol
_atom_site_fract_x
_atom_site_fract_y
_atom_site_fract_z
Mg1 Mg 0.188 0.000 0.295
Si1 Si 0.000 0.000 0.500
Cl1 Cl 0.000 0.500 0.000
# V: 22.30 Å³/atom
# Mass density: 2.1 g cm⁻³
# Formation energy without anion corrections: -209 kJ/mol of formula units
# Energy relative to the lowest polymorph listed for this composition: 0.00 eV/f.u.

Entry 16:
# PBE MgSiCl2, relaxed
data_MgSiCl2
_chemical_formula_sum 'Mg2 Si2 Cl4'
_symmetry_space_group_name_H-M 'I m m m'
_symmetry_Int_Tables_number 71
_symmetry_space_group_name_Hall '-I 2 2'
_cell_length_a 3.206
_cell_length_b 6.238
_cell_length_c 9.070
_cell_angle_alpha 90.00
_cell_angle_beta 90.00
_cell_angle_gamma 90.00
loop_
_atom_site_label
_atom_site_type_symbol
_atom_site_fract_x
_atom_site_fract_y
_atom_site_fract_z
Mg1 Mg 0.000 0.000 0.000
Si1 Si 0.000 0.000 0.500
Cl1 Cl 0.000 0.500 0.300
# V: 22.68 Å³/atom
# Mass density: 2.3 g cm⁻³
# Formation energy without anion corrections: -174 kJ/mol of formula units
# Energy relative to the lowest polymorph listed for this composition: 1.14 eV/f.u.

Entry 17:
# PBE MgSiCl2, relaxed
data_MgSiCl2
_chemical_formula_sum 'Mg2 Si2 Cl4'
_symmetry_space_group_name_H-M 'C 1 2/m 1'
_symmetry_Int_Tables_number 12
_cell_length_a 13.097
_cell_length_b 3.253
_cell_length_c 5.303
_cell_angle_alpha 90.00
_cell_angle_beta 101.79
_cell_angle_gamma 90.00
loop_
_symmetry_equiv_pos_as_xyz
'x,y,z'
'-x,-y,-z'
'-x,y,-z'
'x,-y,z'
'x+1/2,y+1/2,z'
'-x+1/2,-y+1/2,-z'
'-x+1/2,y+1/2,-z'
'x+1/2,-y+1/2,z'
loop_
_atom_site_label
_atom_site_type_symbol
_atom_site_fract_x
_atom_site_fract_y
_atom_site_fract_z
Mg1 Mg 0.000 0.000 0.000
Si1 Si 0.000 0.500 0.500
Cl1 Cl 0.133 0.500 0.197
# V: 27.65 Å³/atom
# Mass density: 1.9 g cm⁻³
# Formation energy without anion corrections: -214 kJ/mol of formula units
# Energy relative to the lowest polymorph listed for this composition: 0.72 eV/f.u.

Entry 18:
# PBE Mg2SiCl, relaxed
data_Mg2SiCl
_chemical_formula_sum 'Mg2 Si1 Cl1'
_symmetry_space_group_name_H-M 'P 4/m m m'
_symmetry_Int_Tables_number 123
_symmetry_space_group_name_Hall '-P 4 2'
_cell_length_a 5.040
_cell_length_b 5.040
_cell_length_c 3.024
_cell_angle_alpha 90.00
_cell_angle_beta 90.00
_cell_angle_gamma 90.00
loop_
_atom_site_label
_atom_site_type_symbol
_atom_site_fract_x
_atom_site_fract_y
_atom_site_fract_z
Mg1 Mg 0.000 0.500 0.000
Si1 Si 0.000 0.000 0.500
Cl1 Cl 0.500 0.500 0.500
# V: 19.20 Å³/atom
# Mass density: 2.4 g cm⁻³
# Formation energy without anion corrections: -133 kJ/mol of formula units
# Energy relative to the lowest polymorph listed for this composition: 0.78 eV/f.u.

Entry 19:
# PBE Mg2SiCl, relaxed
data_Mg2SiCl
_chemical_formula_sum 'Mg4 Si2 Cl2'
_symmetry_space_group_name_H-M 'C m m m'
_symmetry_Int_Tables_number 65
_symmetry_space_group_name_Hall '-C 2 2'
_cell_length_a 4.372
_cell_length_b 4.925
_cell_length_c 7.405
_cell_angle_alpha 90.00
_cell_angle_beta 90.00
_cell_angle_gamma 90.00
loop_
_atom_site_label
_atom_site_type_symbol
_atom_site_fract_x
_atom_site_fract_y
_atom_site_fract_z
Mg1 Mg 0.000 0.000 0.225
Si1 Si 0.000 0.500 0.000
Cl1 Cl 0.000 0.500 0.500
# V: 19.93 Å³/atom
# Mass density: 2.3 g cm⁻³
# Formation energy without anion corrections: -136 kJ/mol of formula units
# Energy relative to the lowest polymorph listed for this composition: 0.76 eV/f.u.

Entry 20:
# PBE Mg2SiCl, relaxed
data_Mg2SiCl
_chemical_formula_sum 'Mg8 Si4 Cl4'
_symmetry_space_group_name_H-M 'F -4 3 m'
_symmetry_Int_Tables_number 216
_symmetry_space_group_name_Hall 'F -4 2 3'
_cell_length_a 6.942
_cell_length_b 6.942
_cell_length_c 6.942
_cell_angle_alpha 90.00
_cell_angle_beta 90.00
_cell_angle_gamma 90.00
loop_
_atom_site_label
_atom_site_type_symbol
_atom_site_fract_x
_atom_site_fract_y
_atom_site_fract_z
Mg1 Mg 0.000 0.000 0.000
Mg2 Mg 0.250 0.250 0.250
Si1 Si 0.250 0.250 0.750
Cl1 Cl 0.000 0.000 0.500
# V: 20.91 Å³/atom
# Mass density: 2.2 g cm⁻³
# Formation energy without anion corrections: 93 kJ/mol of formula units
# Energy relative to the lowest polymorph listed for this composition: 3.13 eV/f.u.